# 1
Crystalline LiZnMo2 at its relaxed geometry. Source: the Open Quantum Materials Database, functional PBE.

Summary:
DFT total energy (eV per atom): -5.891

Cell and atoms, written as CIF:
```
data_LiZnMo2
_symmetry_space_group_name_H-M 'P 1'
_symmetry_Int_Tables_number 1
_symmetry_space_group_name_Hall 'P 1'
_cell_length_a 4.3711
_cell_length_b 4.3711
_cell_length_c 4.3711
_cell_angle_alpha 60.00
_cell_angle_beta 60.00
_cell_angle_gamma 60.00
loop_
_atom_site_label
_atom_site_type_symbol
_atom_site_fract_x
_atom_site_fract_y
_atom_site_fract_z
_atom_site_occupancy
Li1 Li 0.0000 0.0000 0.0000 1
Zn1 Zn 0.7500 0.7500 0.7500 1
Mo1 Mo 0.2500 0.2500 0.2500 1
Mo2 Mo 0.5000 0.5000 0.5000 1
```



# 2
Crystalline LiZr2Mo at its relaxed geometry. Source: the Open Quantum Materials Database, functional PBE.

Summary:
DFT total energy (eV per atom): -7.096

Cell and atoms, written as CIF:
```
data_LiZr2Mo
_symmetry_space_group_name_H-M 'P 1'
_symmetry_Int_Tables_number 1
_symmetry_space_group_name_Hall 'P 1'
_cell_length_a 4.7054
_cell_length_b 4.7054
_cell_length_c 4.7054
_cell_angle_alpha 60.00
_cell_angle_beta 60.00
_cell_angle_gamma 60.00
loop_
_atom_site_label
_atom_site_type_symbol
_atom_site_fract_x
_atom_site_fract_y
_atom_site_fract_z
_atom_site_occupancy
Li1 Li 0.0000 0.0000 0.0000 1
Zr1 Zr 0.5000 0.5000 0.5000 1
Zr2 Zr 0.7500 0.7500 0.7500 1
Mo1 Mo 0.2500 0.2500 0.2500 1
```



# 3
Crystalline LiNb3N5 at its relaxed geometry. Source: the Open Quantum Materials Database, functional PBE.

Summary:
DFT total energy (eV per atom): -8.240

Cell and atoms, written as CIF:
```
data_LiNb3N5
_symmetry_space_group_name_H-M 'P 1'
_symmetry_Int_Tables_number 1
_symmetry_space_group_name_Hall 'P 1'
_cell_length_a 5.2796
_cell_length_b 5.2796
_cell_length_c 4.4387
_cell_angle_alpha 90.00
_cell_angle_beta 90.00
_cell_angle_gamma 120.00
loop_
_atom_site_label
_atom_site_type_symbol
_atom_site_fract_x
_atom_site_fract_y
_atom_site_fract_z
_atom_site_occupancy
Li1 Li 0.0000 0.0000 0.0000 1
Nb1 Nb 0.0000 0.5000 0.5000 1
Nb2 Nb 0.5000 0.0000 0.5000 1
Nb3 Nb 0.5000 0.5000 0.5000 1
N1 N 0.0000 0.0000 0.5000 1
N2 N 0.3333 0.6667 0.1497 1
N3 N 0.3333 0.6667 0.8503 1
N4 N 0.6667 0.3333 0.1497 1
N5 N 0.6667 0.3333 0.8503 1
```



# 4
Crystalline Li3NbPb2N4 at its relaxed geometry. Source: the Open Quantum Materials Database, functional PBE.

Summary:
DFT total energy (eV per atom): -5.967

Cell and atoms, written as CIF:
```
data_Li3NbPb2N4
_symmetry_space_group_name_H-M 'P 1'
_symmetry_Int_Tables_number 1
_symmetry_space_group_name_Hall 'P 1'
_cell_length_a 6.0983
_cell_length_b 6.0983
_cell_length_c 10.9426
_cell_angle_alpha 115.27
_cell_angle_beta 115.27
_cell_angle_gamma 54.77
loop_
_atom_site_label
_atom_site_type_symbol
_atom_site_fract_x
_atom_site_fract_y
_atom_site_fract_z
_atom_site_occupancy
Li1 Li 0.0918 0.1693 0.0622 1
Li2 Li 0.1086 0.8914 0.7500 1
Li3 Li 0.1693 0.0918 0.5622 1
Li4 Li 0.8307 0.9082 0.4378 1
Li5 Li 0.8914 0.1086 0.2500 1
Li6 Li 0.9082 0.8307 0.9378 1
Nb1 Nb 0.3966 0.6034 0.2500 1
Nb2 Nb 0.6034 0.3966 0.7500 1
Pb1 Pb 0.2622 0.3532 0.4080 1
Pb2 Pb 0.3532 0.2622 0.9080 1
Pb3 Pb 0.6468 0.7378 0.0920 1
Pb4 Pb 0.7378 0.6468 0.5920 1
N1 N 0.1672 0.7835 0.3818 1
N2 N 0.2165 0.8328 0.1182 1
N3 N 0.2260 0.4528 0.6413 1
N4 N 0.4528 0.2260 0.1413 1
N5 N 0.5472 0.7740 0.8587 1
N6 N 0.7740 0.5472 0.3587 1
N7 N 0.7835 0.1672 0.8818 1
N8 N 0.8328 0.2165 0.6182 1
```



# 5
Crystalline RbLiNb2N4 at its relaxed geometry. Source: the Open Quantum Materials Database, functional PBE.

Summary:
DFT total energy (eV per atom): -7.690

Cell and atoms, written as CIF:
```
data_RbLiNb2N4
_symmetry_space_group_name_H-M 'P 1'
_symmetry_Int_Tables_number 1
_symmetry_space_group_name_Hall 'P 1'
_cell_length_a 5.8742
_cell_length_b 5.8742
_cell_length_c 5.8742
_cell_angle_alpha 123.91
_cell_angle_beta 123.91
_cell_angle_gamma 83.34
loop_
_atom_site_label
_atom_site_type_symbol
_atom_site_fract_x
_atom_site_fract_y
_atom_site_fract_z
_atom_site_occupancy
Rb1 Rb 0.0000 0.0000 0.0000 1
Li1 Li 0.7500 0.2500 0.5000 1
Nb1 Nb 0.2500 0.7500 0.5000 1
Nb2 Nb 0.5000 0.5000 0.0000 1
N1 N 0.2114 0.1293 0.6157 1
N2 N 0.4043 0.7886 0.9179 1
N3 N 0.5136 0.5957 0.3843 1
N4 N 0.8707 0.4864 0.0821 1
```



# 6
Crystalline Sr2Li3NbN4 at its relaxed geometry. Source: the Open Quantum Materials Database, functional PBE.

Summary:
Offset from the most stable computed form (meV/atom): 22

Cell and atoms, written as CIF:
```
data_Sr2Li3NbN4
_symmetry_space_group_name_H-M 'P 1'
_symmetry_Int_Tables_number 1
_symmetry_space_group_name_Hall 'P 1'
_cell_length_a 6.1292
_cell_length_b 6.1292
_cell_length_c 10.7934
_cell_angle_alpha 116.60
_cell_angle_beta 116.60
_cell_angle_gamma 53.95
loop_
_atom_site_label
_atom_site_type_symbol
_atom_site_fract_x
_atom_site_fract_y
_atom_site_fract_z
_atom_site_occupancy
Sr1 Sr 0.0611 0.6323 0.8903 1
Sr2 Sr 0.3677 0.9389 0.6097 1
Sr3 Sr 0.6323 0.0611 0.3903 1
Sr4 Sr 0.9389 0.3677 0.1097 1
Li1 Li 0.1239 0.5216 0.4550 1
Li2 Li 0.3525 0.6475 0.7500 1
Li3 Li 0.4784 0.8761 0.0450 1
Li4 Li 0.5216 0.1239 0.9550 1
Li5 Li 0.6475 0.3525 0.2500 1
Li6 Li 0.8761 0.4784 0.5450 1
Nb1 Nb 0.1635 0.8365 0.2500 1
Nb2 Nb 0.8365 0.1635 0.7500 1
N1 N 0.0896 0.1880 0.3996 1
N2 N 0.1880 0.0896 0.8996 1
N3 N 0.2834 0.5394 0.3308 1
N4 N 0.4606 0.7166 0.1692 1
N5 N 0.5394 0.2834 0.8308 1
N6 N 0.7166 0.4606 0.6692 1
N7 N 0.8120 0.9104 0.1004 1
N8 N 0.9104 0.8120 0.6004 1
```



# 7
Crystalline SrLi3NbN3 at its relaxed geometry. Source: the Open Quantum Materials Database, functional PBE.

Summary:
DFT total energy (eV per atom): -6.087

Cell and atoms, written as CIF:
```
data_SrLi3NbN3
_symmetry_space_group_name_H-M 'P 1'
_symmetry_Int_Tables_number 1
_symmetry_space_group_name_Hall 'P 1'
_cell_length_a 7.4523
_cell_length_b 7.4523
_cell_length_c 7.4523
_cell_angle_alpha 48.47
_cell_angle_beta 48.47
_cell_angle_gamma 48.47
loop_
_atom_site_label
_atom_site_type_symbol
_atom_site_fract_x
_atom_site_fract_y
_atom_site_fract_z
_atom_site_occupancy
Sr1 Sr 0.1579 0.1579 0.1579 1
Sr2 Sr 0.8421 0.8421 0.8421 1
Li1 Li 0.0441 0.2579 0.5976 1
Li2 Li 0.2579 0.5976 0.0441 1
Li3 Li 0.4024 0.9559 0.7421 1
Li4 Li 0.5976 0.0440 0.2579 1
Li5 Li 0.7421 0.4024 0.9559 1
Li6 Li 0.9559 0.7421 0.4024 1
Nb1 Nb 0.4284 0.4284 0.4284 1
Nb2 Nb 0.5716 0.5716 0.5716 1
N1 N 0.0986 0.4077 0.7155 1
N2 N 0.2845 0.9014 0.5923 1
N3 N 0.4077 0.7155 0.0986 1
N4 N 0.5923 0.2845 0.9014 1
N5 N 0.7155 0.0986 0.4077 1
N6 N 0.9014 0.5923 0.2845 1
```



# 8
Crystalline Sr2Li3NbN4 at its relaxed geometry. Source: the Open Quantum Materials Database, functional PBE.

Summary:
Offset from the most stable computed form (meV/atom): 0

Cell and atoms, written as CIF:
```
data_Sr2Li3NbN4
_symmetry_space_group_name_H-M 'P 1'
_symmetry_Int_Tables_number 1
_symmetry_space_group_name_Hall 'P 1'
_cell_length_a 8.6920
_cell_length_b 8.9681
_cell_length_c 6.9965
_cell_angle_alpha 90.00
_cell_angle_beta 90.00
_cell_angle_gamma 90.00
loop_
_atom_site_label
_atom_site_type_symbol
_atom_site_fract_x
_atom_site_fract_y
_atom_site_fract_z
_atom_site_occupancy
Sr1 Sr 0.0000 0.0000 0.2405 1
Sr2 Sr 0.0000 0.0000 0.7595 1
Sr3 Sr 0.2428 0.2462 0.5000 1
Sr4 Sr 0.2572 0.7462 0.0000 1
Sr5 Sr 0.5000 0.5000 0.2595 1
Sr6 Sr 0.5000 0.5000 0.7405 1
Sr7 Sr 0.7428 0.2538 0.0000 1
Sr8 Sr 0.7572 0.7538 0.5000 1
Li1 Li 0.0180 0.6346 0.2627 1
Li2 Li 0.0180 0.6346 0.7373 1
Li3 Li 0.2049 0.5784 0.5000 1
Li4 Li 0.2951 0.0784 0.0000 1
Li5 Li 0.4820 0.1346 0.2373 1
Li6 Li 0.4820 0.1346 0.7627 1
Li7 Li 0.5180 0.8654 0.2373 1
Li8 Li 0.5180 0.8654 0.7627 1
Li9 Li 0.7049 0.9216 0.0000 1
Li10 Li 0.7951 0.4216 0.5000 1
Li11 Li 0.9820 0.3654 0.2627 1
Li12 Li 0.9820 0.3654 0.7373 1
Nb1 Nb 0.2141 0.3625 0.0000 1
Nb2 Nb 0.2859 0.8625 0.5000 1
Nb3 Nb 0.7141 0.1375 0.5000 1
Nb4 Nb 0.7859 0.6375 0.0000 1
N1 N 0.0456 0.2155 0.0000 1
N2 N 0.0715 0.7786 0.5000 1
N3 N 0.1978 0.4820 0.2360 1
N4 N 0.1978 0.4820 0.7640 1
N5 N 0.3022 0.9820 0.2640 1
N6 N 0.3022 0.9820 0.7360 1
N7 N 0.4285 0.2786 0.0000 1
N8 N 0.4544 0.7155 0.5000 1
N9 N 0.5456 0.2845 0.5000 1
N10 N 0.5715 0.7214 0.0000 1
N11 N 0.6978 0.0180 0.2640 1
N12 N 0.6978 0.0180 0.7360 1
N13 N 0.8022 0.5180 0.2360 1
N14 N 0.8022 0.5180 0.7640 1
N15 N 0.9285 0.2214 0.5000 1
N16 N 0.9544 0.7845 0.0000 1
```



# 9
Crystalline Li5Nd3N3 at its relaxed geometry. Source: the Open Quantum Materials Database, functional PBE.

Summary:
DFT total energy (eV per atom): -4.919

Cell and atoms, written as CIF:
```
data_Li5Nd3N3
_symmetry_space_group_name_H-M 'P 1'
_symmetry_Int_Tables_number 1
_symmetry_space_group_name_Hall 'P 1'
_cell_length_a 6.6264
_cell_length_b 6.6264
_cell_length_c 4.7380
_cell_angle_alpha 90.00
_cell_angle_beta 90.00
_cell_angle_gamma 120.00
loop_
_atom_site_label
_atom_site_type_symbol
_atom_site_fract_x
_atom_site_fract_y
_atom_site_fract_z
_atom_site_occupancy
Li1 Li 0.0000 0.2915 0.0000 1
Li2 Li 0.2915 0.0000 0.0000 1
Li3 Li 0.3333 0.6667 0.0000 1
Li4 Li 0.6667 0.3333 0.0000 1
Li5 Li 0.7085 0.7085 0.0000 1
Nd1 Nd 0.0000 0.6637 0.5000 1
Nd2 Nd 0.3363 0.3363 0.5000 1
Nd3 Nd 0.6637 0.0000 0.5000 1
N1 N 0.0000 0.6092 0.0000 1
N2 N 0.3908 0.3908 0.0000 1
N3 N 0.6092 0.0000 0.0000 1
```



# 10
Crystalline LiNdNO at its relaxed geometry. Source: the Open Quantum Materials Database, functional PBE.

Summary:
Offset from the most stable computed form (meV/atom): 172

Cell and atoms, written as CIF:
```
data_LiNdNO
_symmetry_space_group_name_H-M 'P 1'
_symmetry_Int_Tables_number 1
_symmetry_space_group_name_Hall 'P 1'
_cell_length_a 4.9409
_cell_length_b 4.9409
_cell_length_c 4.5868
_cell_angle_alpha 90.00
_cell_angle_beta 90.00
_cell_angle_gamma 90.00
loop_
_atom_site_label
_atom_site_type_symbol
_atom_site_fract_x
_atom_site_fract_y
_atom_site_fract_z
_atom_site_occupancy
Li1 Li 0.2500 0.2500 0.0018 1
Li2 Li 0.7500 0.7500 0.9982 1
Nd1 Nd 0.2500 0.7500 0.5000 1
Nd2 Nd 0.7500 0.2500 0.5000 1
N1 N 0.2500 0.2500 0.5028 1
N2 N 0.7500 0.7500 0.4972 1
O1 O 0.2500 0.7500 0.0000 1
O2 O 0.7500 0.2500 0.0000 1
```